Compound: Cs2FeCuO
Source: the Alexandria database
Functional: PBE with a Hubbard U
Structure: relaxed

```
5
Lattice="6.803 0.000 0.000 0.000 6.803 0.000 0.000 0.000 3.684" Properties=species:S:1:pos:R:3 pbc="T T T"
Cs 0.000 3.402 0.000
Cs 3.402 0.000 0.000
Fe 0.000 0.000 0.000
Cu 3.402 3.402 1.842
O 0.000 0.000 1.842
```

Values from the calculation:
Space-group type: P4/mmm
Calculated total energy in eV/atom: -3.175